No. 1
# Rb4Au3Br12

A geometry-optimized Rb4Au3Br12 structure (PBE-GGA, the Alexandria database).

The value obtained for the total energy is -2.593 eV/atom. For the total magnetization, the calculation gives 1.1 μB per formula unit. The density of states at the Fermi level is 9.37 states/eV/cell.

Cell: 10.465 10.465 10.465 Å, 109.47 109.47 109.47°
Last column: magnetic moment on the atom in μB.
Element x y z (fractional)
Br1 0.147 0.353 0.499  0.04
Br2 0.353 0.206 0.853  0.04
Br3 0.147 0.647 0.794  0.04
Br4 0.853 0.353 0.206  0.04
Br5 0.499 0.147 0.353  0.04
Br6 0.647 0.794 0.147  0.04
Br7 0.353 0.499 0.147  0.04
Br8 0.206 0.853 0.353  0.04
Br9 0.794 0.147 0.647  0.04
Br10 0.501 0.853 0.647  0.04
Br11 0.853 0.647 0.501  0.04
Br12 0.647 0.501 0.853  0.04
Rb1 0.000 0.000 0.500  0.00
Rb2 0.500 0.500 0.500  0.00
Rb3 0.500 0.000 0.000  0.00
Rb4 0.000 0.500 0.000  0.00
Au1 0.000 0.500 0.500  0.12
Au2 0.500 0.000 0.500  0.12
Au3 0.500 0.500 0.000  0.12

***

No. 2
# LiYCl2

A geometry-optimized LiYCl2 structure (PBE-GGA, the Alexandria database).

As for the energy relative to the lowest polymorph listed for this composition: 236 meV per atom. For the total magnetization, the calculation gives 0.0 μB per formula unit. The density of states at the Fermi level is 1.69 states/eV/cell.

Cell: 5.209 5.209 5.209 Å, 140.69 114.30 79.33°
Element x y z (fractional)
Li1 0.750 0.250 0.500
Y1 0.250 0.750 0.500
Cl1 0.957 0.957 0.000
Cl2 0.543 0.543 0.000

***

No. 3
# LiCd2I

A geometry-optimized LiCd2I structure (PBE-GGA, the Alexandria database).

As for the energy relative to the lowest polymorph listed for this composition: 0 meV per atom. For the total magnetization, the calculation gives 0.0 μB per formula unit. The density of states at the Fermi level is 0.33 states/eV/cell.

Cell: 9.392 9.392 7.215 Å, 49.39 49.39 90.00°
Element x y z (fractional)
Cd1 0.375 0.376 0.750
Cd2 0.624 0.125 0.250
Cd3 0.875 0.874 0.750
Cd4 0.126 0.625 0.250
Li1 0.250 0.750 0.500
Li2 0.500 0.500 0.000
I1 0.750 0.250 0.500
I2 0.000 0.000 0.000

***

No. 4
# HoGaRhAu

A geometry-optimized HoGaRhAu structure (PBE-GGA, the Alexandria database).

For the total magnetization, the calculation gives 0.0 μB per formula unit. The energy relative to the elements is -0.616 eV per atom. The density of states at the Fermi level is 3.37 states/eV/cell.

Cell: 4.701 4.701 4.701 Å, 60.00 60.00 60.00°
Element x y z (fractional)
Rh1 0.000 0.000 0.000
Ho1 0.750 0.750 0.750
Au1 0.500 0.500 0.500
Ga1 0.250 0.250 0.250

***

No. 5
# Cs2CdH4

A geometry-optimized Cs2CdH4 structure (PBE-GGA, the Alexandria database).

The value obtained for the total energy is -2.450 eV/atom. For the total magnetization, the calculation gives 0.0 μB per formula unit. The density of states at the Fermi level is 0.00 states/eV/cell.

Cell: 6.094 6.494 8.905 Å, 90.00 107.01 90.00°
Element x y z (fractional)
H1 0.741 0.479 0.294
H2 0.187 0.750 0.977
H3 0.259 0.979 0.706
H4 0.259 0.521 0.706
H5 0.202 0.250 0.327
H6 0.741 0.021 0.294
H7 0.798 0.750 0.673
H8 0.813 0.250 0.023
Cs1 0.696 0.250 0.612
Cs2 0.701 0.750 0.996
Cs3 0.299 0.250 0.004
Cs4 0.304 0.750 0.388
Cd1 0.889 0.250 0.248
Cd2 0.111 0.750 0.752

***

No. 6
# Nd2Er2Pt3

A geometry-optimized Nd2Er2Pt3 structure (PBE-GGA, the Alexandria database).

For the total magnetization, the calculation gives 0.0 μB per formula unit. The energy relative to the elements is -1.042 eV per atom. The density of states at the Fermi level is 9.80 states/eV/cell.

Cell: 7.656 7.656 7.656 Å, 109.47 109.47 109.47°
Element x y z (fractional)
Nd1 0.500 0.372 0.500
Nd2 0.628 0.128 0.128
Nd3 0.872 0.500 0.000
Nd4 0.000 0.000 0.372
Pt1 0.250 0.863 0.113
Pt2 0.613 0.750 0.863
Pt3 0.750 0.637 0.387
Pt4 0.363 0.113 0.750
Pt5 0.137 0.387 0.250
Pt6 0.887 0.250 0.637
Er1 0.500 0.877 0.500
Er2 0.123 0.623 0.623
Er3 0.000 0.000 0.877
Er4 0.377 0.500 0.000

***

No. 7
# AgGe2Au6

A geometry-optimized AgGe2Au6 structure (PBE-GGA, the Alexandria database).

As for the energy relative to the lowest polymorph listed for this composition: 29 meV per atom. For the total magnetization, the calculation gives 0.0 μB per formula unit. The energy relative to the elements is 0.087 eV per atom. The density of states at the Fermi level is 2.96 states/eV/cell.

Cell: 4.228 6.474 6.474 Å, 91.91 90.00 90.00°
Element x y z (fractional)
Au1 0.500 0.544 0.544
Au2 0.500 0.997 0.570
Au3 0.000 0.973 0.283
Au4 0.500 0.570 0.997
Au5 0.000 0.283 0.973
Au6 0.000 0.781 0.781
Ge1 0.000 0.573 0.272
Ge2 0.000 0.272 0.573
Ag1 0.500 0.005 0.005

***

No. 8
# Pm2GdSe

A geometry-optimized Pm2GdSe structure (PBE-GGA, the Alexandria database).

The value obtained for the total energy is -7.560 eV/atom. For the total magnetization, the calculation gives 8.4 μB per formula unit. The density of states at the Fermi level is 6.43 states/eV/cell.

Cell: 3.903 3.903 9.898 Å, 78.63 78.63 60.00°
Last column: magnetic moment on the atom in μB.
Element x y z (fractional)
Gd1 0.500 0.500 0.500  7.42
Pm1 0.268 0.268 0.196  0.08
Pm2 0.732 0.732 0.804  0.08
Se1 0.000 0.000 0.000  0.01

***

No. 9
# Cr4SbPt

A geometry-optimized Cr4SbPt structure (PBE-GGA, the Alexandria database).

The value obtained for the total energy is -7.856 eV/atom. For the total magnetization, the calculation gives 0.0 μB per formula unit. The density of states at the Fermi level is 6.65 states/eV/cell.

Cell: 4.892 4.892 4.892 Å, 60.00 60.00 60.00°
Element x y z (fractional)
Sb1 0.000 0.000 0.000
Cr1 0.375 0.875 0.375
Cr2 0.375 0.375 0.875
Cr3 0.875 0.375 0.375
Cr4 0.375 0.375 0.375
Pt1 0.750 0.750 0.750

***

No. 10
# TlNi2Br

A geometry-optimized TlNi2Br structure (PBE-GGA, the Alexandria database).

As for the energy relative to the lowest polymorph listed for this composition: 242 meV per atom. For the total magnetization, the calculation gives 0.8 μB per formula unit. The density of states at the Fermi level is 4.81 states/eV/cell.

Cell: 6.978 6.978 6.978 Å, 151.72 149.00 42.46°
Last column: magnetic moment on the atom in μB.
Element x y z (fractional)
Ni1 0.946 0.946 0.000  0.11
Ni2 0.812 0.312 0.500  0.69
Br1 0.244 0.744 0.500  0.08
Tl1 0.497 0.497 0.000  -0.01

***

No. 11
# CeNdGaOs

A geometry-optimized CeNdGaOs structure (PBE-GGA, the Alexandria database).

As for the energy relative to the lowest polymorph listed for this composition: 174 meV per atom. For the total magnetization, the calculation gives 0.2 μB per formula unit. The energy relative to the elements is -0.197 eV per atom. The density of states at the Fermi level is 4.53 states/eV/cell.

Cell: 5.054 5.054 5.054 Å, 60.00 60.00 60.00°
Last column: magnetic moment on the atom in μB.
Element x y z (fractional)
Ga1 0.500 0.500 0.500  0.00
Os1 0.000 0.000 0.000  -0.02
Nd1 0.250 0.250 0.250  0.01
Ce1 0.750 0.750 0.750  0.22

***

No. 12
# Ho2TlCd

A geometry-optimized Ho2TlCd structure (PBE-GGA, the Alexandria database).

For the total magnetization, the calculation gives 0.0 μB per formula unit. The energy relative to the elements is -0.332 eV per atom. The density of states at the Fermi level is 4.65 states/eV/cell.

Cell: 5.310 5.310 5.301 Å, 60.05 60.05 59.89°
Element x y z (fractional)
Tl1 0.750 0.750 0.750
Ho1 0.000 0.000 0.000
Ho2 0.500 0.500 0.500
Cd1 0.250 0.250 0.250

***

No. 13
# PrDy9Y2

A geometry-optimized PrDy9Y2 structure (PBE-GGA, the Alexandria database).

As for the energy relative to the lowest polymorph listed for this composition: 0 meV per atom. For the total magnetization, the calculation gives 0.0 μB per formula unit. The energy relative to the elements is 0.023 eV per atom. The density of states at the Fermi level is 17.74 states/eV/cell.

Cell: 5.040 5.040 15.119 Å, 90.00 90.00 90.00°
Element x y z (fractional)
Y1 0.000 0.000 0.334
Y2 0.000 0.000 0.666
Pr1 0.000 0.000 0.000
Dy1 0.500 0.500 0.335
Dy2 0.500 0.000 0.832
Dy3 0.000 0.500 0.168
Dy4 0.500 0.500 0.665
Dy5 0.000 0.500 0.500
Dy6 0.500 0.000 0.168
Dy7 0.500 0.500 0.000
Dy8 0.000 0.500 0.832
Dy9 0.500 0.000 0.500

***

No. 14
# Pr4Dy5Hg

A geometry-optimized Pr4Dy5Hg structure (PBE-GGA, the Alexandria database).

For the total magnetization, the calculation gives 0.0 μB per formula unit. The energy relative to the elements is -0.083 eV per atom. The density of states at the Fermi level is 13.19 states/eV/cell.

Cell: 3.644 3.644 24.249 Å, 90.00 90.00 90.00°
Element x y z (fractional)
Dy1 0.500 0.500 0.710
Dy2 0.500 0.500 0.920
Dy3 0.500 0.500 0.080
Dy4 0.500 0.500 0.500
Dy5 0.500 0.500 0.290
Hg1 0.000 0.000 0.000
Pr1 0.000 0.000 0.395
Pr2 0.000 0.000 0.185
Pr3 0.000 0.000 0.605
Pr4 0.000 0.000 0.815

***

No. 15
# Sc3Pb2

A geometry-optimized Sc3Pb2 structure (PBE-GGA, the Alexandria database).

For the total magnetization, the calculation gives 0.0 μB per formula unit. The energy relative to the elements is -0.365 eV per atom. The density of states at the Fermi level is 5.48 states/eV/cell.

Cell: 9.120 8.031 6.140 Å, 78.88 59.78 41.35°
Element x y z (fractional)
Sc1 0.069 0.931 0.931
Sc2 0.433 0.370 0.452
Sc3 0.745 0.452 0.370
Sc4 0.319 0.181 0.181
Sc5 0.880 0.817 0.505
Sc6 0.798 0.505 0.817
Pb1 0.541 0.360 0.887
Pb2 0.890 0.709 0.037
Pb3 0.213 0.887 0.360
Pb4 0.363 0.037 0.709

***

No. 16
# AlGa2H

A geometry-optimized AlGa2H structure (PBE-GGA, the Alexandria database).

As for the energy relative to the lowest polymorph listed for this composition: 9 meV per atom. For the total magnetization, the calculation gives 0.0 μB per formula unit. The density of states at the Fermi level is 3.21 states/eV/cell.

Cell: 4.704 4.704 6.959 Å, 70.25 70.25 90.00°
Element x y z (fractional)
H1 0.250 0.750 0.500
H2 0.500 0.500 0.000
Al1 0.750 0.250 0.500
Al2 0.000 0.000 0.000
Ga1 0.504 0.125 0.250
Ga2 0.375 0.496 0.750
Ga3 0.875 0.754 0.750
Ga4 0.246 0.625 0.250